Entry 1:
! Rb2MgSnBr6 | Alexandria via LeMat-Bulk | PBE | relaxed; values from VASP
&SYSTEM
  ibrav = 0, nat = 20, ntyp = 4
/
ATOMIC_SPECIES
Rb 85.47 Rb.upf
Mg 24.30 Mg.upf
Sn 118.71 Sn.upf
Br 79.90 Br.upf
ATOMIC_POSITIONS crystal
Rb 0.233 0.058 0.249
Rb 0.233 0.442 0.749
Rb 0.767 0.558 0.251
Rb 0.767 0.942 0.751
Mg 0.000 0.000 0.500
Mg 0.000 0.500 0.000
Sn 0.500 0.000 0.000
Sn 0.500 0.500 0.500
Br 0.155 0.219 0.963
Br 0.155 0.281 0.463
Br 0.245 0.694 0.963
Br 0.245 0.806 0.463
Br 0.311 0.010 0.737
Br 0.311 0.490 0.237
Br 0.689 0.510 0.763
Br 0.689 0.990 0.263
Br 0.755 0.194 0.537
Br 0.755 0.306 0.037
Br 0.845 0.719 0.537
Br 0.845 0.781 0.037
CELL_PARAMETERS angstrom
7.799 0.000 0.000
0.000 7.988 0.000
-7.771 0.000 11.160
! ΔE_f (raw) in kcal/mol of atoms: -31.73
! Energy relative to the lowest polymorph listed for this composition in kJ per mole of atoms: 0.00
! Symmetry: P2_1/c

***

Entry 2:
! MgIrRhSe2 | Alexandria via LeMat-Bulk | PBE | relaxed; values from VASP
&SYSTEM
  ibrav = 0, nat = 5, ntyp = 4
/
ATOMIC_SPECIES
Mg 24.30 Mg.upf
Ir 192.22 Ir.upf
Rh 102.91 Rh.upf
Se 78.96 Se.upf
ATOMIC_POSITIONS crystal
Mg 0.000 0.000 0.000
Ir 0.000 0.000 0.500
Rh 0.500 0.500 0.500
Se 0.000 0.500 0.000
Se 0.500 0.000 0.000
CELL_PARAMETERS angstrom
4.744 0.000 0.000
0.000 4.744 0.000
0.000 0.000 4.658
! ΔE_f (raw) in kcal/mol of atoms: 27.91
! Symmetry: P4/mmm

***

Look up the ΔE_f (raw) of the first one. -31.73 kcal/mol of atoms